Density functional theory data (GGA-PBE) for a geometry-optimized Zr4FeSN2 structure.

## Properties
symmetry	No. 187

a b c (Å): 3.2791 3.2791 12.7943
angles (deg): 90.00 90.00 120.00
Last column: nearest neighbours and their distance in Å.
Fractional coordinates of all 8 atoms:
Zr 0.0000 0.0000 0.1435  3 N 2.30
Zr 0.0000 0.0000 0.8565  3 N 2.30
Zr 0.6667 0.3333 0.3479  3 N 2.30
Zr 0.6667 0.3333 0.6521  3 N 2.30
Fe 0.0000 0.0000 0.5000  6 Zr 2.71
S 0.6667 0.3333 0.0000  6 Zr 2.64
N 0.3333 0.6667 0.2457  6 Zr 2.30
N 0.3333 0.6667 0.7543  6 Zr 2.30



Density functional theory data (GGA-PBE) for a geometry-optimized Rb4InAu2O structure.

## Properties
symmetry	No. 38

a b c (Å): 9.1926 9.3731 9.3731
angles (deg): 27.60 90.00 90.00
Last column: nearest neighbours and their distance in Å.
Fractional coordinates of all 8 atoms:
Rb 0.1953 0.0000 0.0000  2 O 2.95
Rb 0.2718 0.7388 0.7388  3 Au 3.38-3.43
Rb 0.7282 0.7388 0.7388  3 Au 3.38-3.43
Rb 0.8047 0.0000 0.0000  2 O 2.95
In 0.0000 0.3498 0.3498  1 O 2.04
Au 0.0000 0.1997 0.1997  1 In 2.73, 2 Au 2.73
Au 0.0000 0.6134 0.6134  2 Au 2.73, 1 O 2.76
O 0.0000 0.4620 0.4620  1 In 2.04



Density functional theory data (GGA-PBE) for a geometry-optimized Cu4Ag structure.

## Properties
relative energy among the computed polymorphs	26	meV per atom
symmetry	No. 12

a b c (Å): 6.9697 6.9697 5.3053
angles (deg): 101.06 101.06 31.06
Last column: nearest neighbours and their distance in Å.
Fractional coordinates of all 10 atoms:
Cu 0.0000 0.0000 0.0000  8 Cu 2.63-2.67, 4 Ag 2.64
Cu 0.0000 0.0000 0.5000  4 Ag 2.64, 8 Cu 2.65-2.68
Cu 0.2000 0.2000 0.1097  9 Cu 2.55-2.75, 3 Ag 2.63-2.67
Cu 0.2039 0.2039 0.5929  10 Cu 2.53-2.75, 2 Ag 2.69
Cu 0.3960 0.3960 0.6977  9 Cu 2.53-2.67, 3 Ag 2.65-2.69
Cu 0.6040 0.6040 0.3023  9 Cu 2.53-2.67, 3 Ag 2.65-2.69
Cu 0.7961 0.7961 0.4071  10 Cu 2.53-2.75, 2 Ag 2.69
Cu 0.8000 0.8000 0.8903  9 Cu 2.55-2.75, 3 Ag 2.63-2.67
Ag 0.3998 0.3998 0.2005  12 Cu 2.63-2.69
Ag 0.6002 0.6002 0.7995  12 Cu 2.63-2.69



Density functional theory data (GGA-PBE) for a geometry-optimized SmTaTe structure.

## Properties
relative energy among the computed polymorphs	0	meV per atom
symmetry	No. 216

a b c (Å): 4.8536 4.8536 4.8536
angles (deg): 60.00 60.00 60.00
Last column: nearest neighbours and their distance in Å.
Fractional coordinates of all 3 atoms:
Sm 0.0000 0.0000 0.0000  4 Te 2.97
Ta 0.5000 0.5000 0.5000  4 Te 2.97
Te 0.2500 0.2500 0.2500  4 Ta 2.97, 4 Sm 2.97



Values of VASP energy, in order: -9.05; -2.65; -3.47; -6.26, all in eV per atom.